Entry 1:
Here is crystalline ReW5 at its relaxed geometry from the Open Quantum Materials Database. Energies are from GGA-PBE.

```
24
Lattice="-2.929 -2.545 3.468 -1.493 0.254 -4.979 8.542 -14.316 -3.293" Properties=species:S:1:pos:R:3 pbc="T T T"
W 1.171 -3.911 -1.882
W 3.412 -5.718 -1.315
W 7.683 -12.876 -2.962
W 5.292 -12.853 -4.963
W -0.746 0.127 -2.489
W 3.578 -9.979 -4.302
W 3.525 -7.031 -4.136
W 0.859 -1.440 -0.331
W 2.807 -8.431 0.088
W 2.950 -12.696 -2.922
Re 5.020 -14.132 -2.227
W 0.408 -3.781 -4.424
W -2.211 -1.145 -0.755
W 5.208 -11.526 -2.150
W 0.543 -6.628 -0.501
W -1.172 -3.754 0.160
Re 2.893 -10.566 -1.407
W -1.087 -5.081 -2.653
W 5.130 -8.598 -1.978
Re -0.900 -2.475 -2.576
W -1.464 -1.273 1.734
Re 1.228 -6.041 -3.396
W 3.712 -12.826 -0.380
W 2.060 -8.303 -2.402
```

Calculated values
As for the space group: P6_3/mmc. The calculation puts the formation energy from the elements at 0.38 eV/atom. Its excess energy over the best structure of this formula in the dataset is 2 meV per atom.

---

Entry 2:
Here is crystalline Lu2Hf4Ni3C3 at its relaxed geometry from the Open Quantum Materials Database. Energies are from GGA-PBE.

```
24
Lattice="-4.764 1.845 -2.492 -5.018 -2.237 1.458 2.028 9.402 9.848" Properties=species:S:1:pos:R:3 pbc="T T T"
Hf -7.811 3.854 2.743
Hf -0.911 1.191 0.434
Ni -5.725 7.408 5.989
Hf -0.347 8.115 9.030
Hf 0.057 5.156 6.071
Lu -4.497 3.734 2.897
Hf -7.407 0.895 -0.216
Lu -3.257 5.276 5.916
Ni -6.820 1.411 2.319
Ni -4.492 0.425 3.618
Hf -1.320 4.077 3.464
C -2.975 5.586 3.482
C -4.779 3.424 5.332
C -2.382 0.923 -1.246
Lu -4.229 1.246 0.343
Ni -0.934 7.599 6.495
Ni -3.262 8.586 5.195
Ni -2.029 1.602 2.824
C -4.119 -1.210 0.585
Hf -6.434 4.934 5.349
C -5.663 0.818 -1.620
C -1.495 3.583 5.653
Hf -6.843 7.820 8.379
Lu -3.525 7.764 8.471
```

Calculated values
The value obtained for the calculated total energy is -199.318 eV per cell. As for the space group: C2/c.

---

Entry 3:
Here is crystalline Sb2PdO4 at its relaxed geometry from the Open Quantum Materials Database. Energies are from GGA-PBE.

```
14
Lattice="4.754 -4.757 0.000 -4.754 0.000 -4.757 4.754 4.757 0.000" Properties=species:S:1:pos:R:3 pbc="T T T"
Sb 1.189 1.189 -3.567
O 3.424 1.332 -3.425
O -1.046 1.046 -3.710
Pd 0.000 0.000 0.000
O 3.708 -1.046 -1.046
Sb 5.943 -1.189 -1.189
Sb -1.189 -1.189 -3.567
Sb 3.566 1.189 -1.189
Pd 2.377 -2.378 -2.378
O 5.801 1.046 -1.046
O 1.331 1.332 -1.332
O 1.331 3.425 -3.425
O 3.424 3.425 -1.332
O 1.046 -1.046 -3.710
```

Calculated values
As for the space group: Fd-3m. Its excess energy over the best structure of this formula in the dataset is 494 meV per atom.

---

Entry 4:
Here is crystalline Ni16Te at its relaxed geometry from the Open Quantum Materials Database. Energies are from GGA-PBE.

```
34
Lattice="-4.761 7.081 5.221 -0.740 -1.793 1.757 23.629 4.062 14.092" Properties=species:S:1:pos:R:3 pbc="T T T"
Ni 6.501 3.808 6.623
Te 5.281 1.667 3.924
Ni 11.738 8.862 13.985
Ni 8.751 2.792 6.533
Ni 10.746 6.834 11.497
Ni 12.016 3.801 8.937
Ni 6.759 1.384 6.207
Ni 12.263 1.385 8.525
Te 13.215 8.578 16.266
Ni 11.009 4.420 11.094
Ni 4.230 7.458 11.340
Ni 13.287 3.401 11.013
Ni 14.255 5.424 13.485
Ni 8.488 7.846 11.579
Ni 2.945 7.817 9.216
Ni 14.013 7.824 13.883
Ni 15.255 4.826 11.346
Ni 8.746 5.434 11.176
Ni 6.235 8.860 11.666
Ni 3.244 5.420 8.846
Ni 14.267 2.788 8.851
Ni 11.996 6.438 13.569
Ni 9.751 4.812 9.016
Ni 4.244 4.822 6.707
Ni 9.747 7.454 13.659
Ni 13.007 5.820 11.415
Ni 5.212 6.845 9.179
Ni 15.552 2.430 10.975
Ni 7.488 5.826 9.097
Ni 7.751 3.413 8.695
Ni 5.491 4.426 8.778
Ni 10.009 2.400 8.612
Ni 4.485 2.422 6.309
Ni 6.482 6.444 11.254
```

Calculated values
As for the space group: P2_1/m. Its excess energy over the best structure of this formula in the dataset is 125 meV per atom.

---

Entry 5:
Here is crystalline Nb2Cl at its relaxed geometry from the Open Quantum Materials Database. Energies are from GGA-PBE.

```
3
Lattice="-0.839 -4.095 -0.578 -3.995 -1.300 -0.394 -1.419 -1.356 -3.735" Properties=species:S:1:pos:R:3 pbc="T T T"
Cl 0.000 0.000 0.000
Nb -1.563 -1.688 -1.177
Nb -4.690 -5.063 -3.530
```

Calculated values
As for the space group: Fm-3m. Its excess energy over the best structure of this formula in the dataset is 0 meV per atom.

---

Entry 6:
Here is crystalline La2CdP2IrO2 at its relaxed geometry from the Open Quantum Materials Database. Energies are from GGA-PBE.

```
8
Lattice="-2.712 0.036 3.129 -2.994 -1.236 -2.580 1.899 -8.235 1.741" Properties=species:S:1:pos:R:3 pbc="T T T"
O 0.949 -4.118 0.870
Ir -2.853 -0.600 0.274
P -1.184 -1.976 -1.003
P 0.229 -6.859 3.018
Cd 0.000 0.000 0.000
O -1.904 -4.717 1.145
La -0.285 -5.876 -0.179
La -0.670 -2.959 2.194
```

Calculated values
The value obtained for the calculated total energy is -54.000 eV per cell. As for the space group: P-4m2.

---

| no. | theoretical density (Mg/m³) |
| --- | --- |
| 1 | 18.42 |
| 2 | 11.35 |
| 3 | 6.39 |
| 4 | 4.87 |
| 5 | 6.92 |
| 6 | 7.59 |